Entry from the Alexandria database: an optimized crystal structure of CoReF3 (GGA+U).

mass density: 7.08 g/cm³
total magnetization: 1.653 μB per atom
space-group type: Pm-3m
uncorrected energy: -4.9591 eV/atom

a = 4.139 Å, b = 4.139 Å, c = 4.139 Å
α = 90.00°, β = 90.00°, γ = 90.00°
Fractional coordinates of all 5 atoms:
1 Co 0.000 0.000 0.000
2 Re 0.500 0.500 0.500
3 F 0.000 0.000 0.500
4 F 0.000 0.500 0.000
5 F 0.500 0.000 0.000